Cr2In2F: relaxed, GGA+U.

Geometry as POSCAR:
```
Cr2In2F
1.0
3.9736 0.0000 0.0000
0.0000 3.9736 0.0000
1.9868 1.9868 7.3440
In Cr F
2 2 1
direct
0.5938 0.5938 0.8125
0.4062 0.4062 0.1875
0.7500 0.2500 0.5000
0.2500 0.7500 0.5000
0.0000 0.0000 0.0000
```

Results
Space-group type: No. 139
Final energy in eV/cell: -22.2
N(E_F) in states/eV/f.u.: 2.14
Energy above the most stable polymorph in this dataset in eV per atom: 0.187